Arrangement 1

# Ce3GeOs

A geometry-optimized Ce3GeOs structure (GGA-PBE, the Alexandria database).

```
10
Lattice="-4.192 0.055 -3.281 5.661 -0.585 -2.904 -2.645 -7.691 3.233" Properties=species:S:1:pos:R:3 pbc="T T T"
Ce -3.643 -7.189 0.207
Ce 0.141 -2.403 -0.224
Ce -1.317 -5.819 -2.728
Ce 2.466 -1.032 -3.159
Ce -0.490 -3.180 -3.740
Ce -0.686 -5.041 0.788
Ge -2.584 -3.492 -1.080
Ge 1.408 -4.729 -1.872
Os 0.563 -0.806 -5.043
Os -1.739 -7.416 2.091
```

- density (g/cm³) = 9.116
- DOS at the Fermi energy (states/eV/atom) = 1.668
- size of the total moment (μB per formula unit) = 0.0
- space group = P-1

---

Arrangement 2

# Ce3GeOs

A geometry-optimized Ce3GeOs structure (GGA-PBE, the Alexandria database).

```
10
Lattice="-2.975 2.928 1.500 -3.431 -2.299 4.241 5.965 2.057 7.814" Properties=species:S:1:pos:R:3 pbc="T T T"
Ce -3.904 2.112 3.806
Ce -3.504 -0.903 3.928
Ce -0.574 1.443 5.159
Ce 2.180 2.665 8.234
Ce -0.292 -0.069 8.668
Ce -3.149 1.355 6.781
Ge -0.890 3.051 7.951
Ge -0.198 2.474 10.451
Os 1.154 1.003 2.886
Os -1.800 1.836 1.960
```

- density (g/cm³) = 9.376
- DOS at the Fermi energy (states/eV/atom) = 2.148
- size of the total moment (μB per formula unit) = 1.0
- space group = C2/m

---

Energies, relative to the best one, in meV/atom: arrangement 1 60; arrangement 2 0.

---

Arrangement 1

# Ce5GeOs2

A geometry-optimized Ce5GeOs2 structure (GGA-PBE, the Alexandria database).

```
16
Lattice="7.042 0.000 -3.324 -1.569 6.865 -3.324 -0.346 -0.434 8.387" Properties=species:S:1:pos:R:3 pbc="T T T"
Ge 3.931 4.932 -0.793
Ge 1.195 1.499 2.532
Ce 4.048 6.596 -3.538
Ce 2.334 4.447 1.953
Ce -0.917 3.267 4.187
Ce 4.330 1.015 3.044
Ce 0.796 5.416 -1.305
Ce 0.000 0.000 0.000
Ce 2.736 3.432 -3.324
Ce 1.079 -0.166 5.278
Ce 2.792 1.983 -0.214
Ce 6.043 3.164 -2.448
Os 4.268 0.937 -2.569
Os 0.390 2.496 -1.662
Os 1.205 5.928 -4.079
Os 5.083 4.369 -4.986
```

- density (g/cm³) = 9.948
- DOS at the Fermi energy (states/eV/atom) = 2.458
- size of the total moment (μB per formula unit) = 2.0
- space group = I4/mcm

---

Arrangement 2

# Ce5GeOs2

A geometry-optimized Ce5GeOs2 structure (GGA-PBE, the Alexandria database).

```
16
Lattice="5.612 0.000 0.000 -2.806 6.497 0.000 0.000 0.000 13.667" Properties=species:S:1:pos:R:3 pbc="T T T"
Os 2.806 4.568 0.751
Os 2.806 4.568 6.083
Os 0.000 1.929 7.584
Os 0.000 1.929 12.916
Ce 2.806 3.596 3.417
Ce 0.000 2.901 10.250
Ce 0.000 4.375 6.097
Ce 2.806 5.871 11.997
Ce 2.806 5.871 8.503
Ce 0.000 4.375 0.737
Ce 0.000 0.626 5.164
Ce 2.806 2.121 7.570
Ce 2.806 2.121 12.930
Ce 0.000 0.626 1.670
Ge 0.000 2.986 3.417
Ge 2.806 3.510 10.250
```

- density (g/cm³) = 7.689
- DOS at the Fermi energy (states/eV/atom) = 3.078
- size of the total moment (μB per formula unit) = 3.4
- space group = Cmcm

---

Energies, relative to the best one, in meV/atom: arrangement 1 0; arrangement 2 298.

---

Arrangement 1

# Ce6GeOs2

A geometry-optimized Ce6GeOs2 structure (GGA-PBE, the Alexandria database).

```
18
Lattice="6.123 -0.080 -0.077 1.411 8.642 2.107 1.411 2.386 8.569" Properties=species:S:1:pos:R:3 pbc="T T T"
Ce 6.669 5.813 6.729
Ce 3.608 6.954 5.631
Ce 2.275 5.134 3.870
Ce 5.358 1.966 7.046
Ce 5.287 4.877 1.589
Ce 2.226 1.786 4.861
Ce 5.337 3.994 4.968
Ce 6.719 9.161 5.737
Ce 3.657 6.071 9.009
Ce 6.648 3.801 8.823
Ce 2.296 7.146 1.776
Ce 3.587 8.981 3.552
Ge 2.941 3.916 6.948
Ge 6.003 7.031 3.651
Os 6.820 2.700 2.568
Os 5.186 8.253 7.944
Os 3.759 2.694 2.654
Os 2.124 8.248 8.030
```

- density (g/cm³) = 10.132
- DOS at the Fermi energy (states/eV/atom) = 2.216
- size of the total moment (μB per formula unit) = 2.1
- space group = C2/c

---

Arrangement 2

# Ce6GeOs2

A geometry-optimized Ce6GeOs2 structure (GGA-PBE, the Alexandria database).

```
9
Lattice="-0.696 3.821 2.867 2.003 -4.585 2.533 7.936 3.126 -2.239" Properties=species:S:1:pos:R:3 pbc="T T T"
Os 1.820 -1.077 1.877
Os 7.423 3.439 1.284
Ce 7.888 0.508 1.239
Ce 4.991 2.718 1.654
Ce 2.304 0.001 4.622
Ce 1.355 1.854 1.922
Ce 6.938 2.361 -1.461
Ce 4.252 -0.356 1.507
Ge 3.968 1.563 -1.119
```

- density (g/cm³) = 10.012
- DOS at the Fermi energy (states/eV/atom) = 1.970
- size of the total moment (μB per formula unit) = 1.1
- space group = C2/m

---

Energies, relative to the best one, in meV/atom: arrangement 1 32; arrangement 2 0.

---

Arrangement 1

# CePmGeOs

A geometry-optimized CePmGeOs structure (GGA-PBE, the Alexandria database).

```
4
Lattice="4.142 0.000 0.000 0.000 3.922 0.000 -2.071 0.000 5.780" Properties=species:S:1:pos:R:3 pbc="T T T"
Ge 0.000 0.000 5.002
Os 2.071 1.961 0.989
Ce 0.000 0.000 1.488
Pm 2.071 1.961 4.082
```

- density (g/cm³) = 9.692
- DOS at the Fermi energy (states/eV/atom) = 0.779
- size of the total moment (μB per formula unit) = 0.0
- space group = Amm2

---

Arrangement 2

# CePmGeOs

A geometry-optimized CePmGeOs structure (GGA-PBE, the Alexandria database).

```
4
Lattice="5.041 0.000 0.000 2.520 4.366 0.000 2.520 1.455 4.116" Properties=species:S:1:pos:R:3 pbc="T T T"
Os 7.561 4.366 3.087
Pm 0.000 0.000 0.000
Ge 2.520 1.455 1.029
Ce 5.041 2.910 2.058
```

- density (g/cm³) = 10.046
- DOS at the Fermi energy (states/eV/atom) = 1.286
- size of the total moment (μB per formula unit) = 0.0
- space group = F-43m

---

Energies, relative to the best one, in meV/atom: arrangement 1 0; arrangement 2 291.

---

Arrangement 1

# CeGeP

A geometry-optimized CeGeP structure (GGA-PBE, the Alexandria database).

```
3
Lattice="3.931 0.000 0.000 0.000 4.275 0.000 0.000 -2.138 3.702" Properties=species:S:1:pos:R:3 pbc="T T T"
Ce 1.310 2.138 1.234
P 3.274 0.000 0.000
Ge 3.277 0.000 2.468
```

- density (g/cm³) = 6.505
- DOS at the Fermi energy (states/eV/atom) = 1.208
- size of the total moment (μB per formula unit) = 0.2
- space group = P-6m2

---

Arrangement 2

# CeGeP

A geometry-optimized CeGeP structure (GGA-PBE, the Alexandria database).

```
3
Lattice="-2.806 -0.715 2.919 2.934 0.214 2.873 -0.697 4.181 -2.542" Properties=species:S:1:pos:R:3 pbc="T T T"
Ge -0.540 3.492 3.233
Ce -0.086 0.677 2.980
P -0.324 2.012 0.181
```

- density (g/cm³) = 5.989
- DOS at the Fermi energy (states/eV/atom) = 1.517
- size of the total moment (μB per formula unit) = 0.2
- space group = I4mm

---

Energies, relative to the best one, in meV/atom: arrangement 1 0; arrangement 2 104.

---

Arrangement 1

# Ce2PaGe

A geometry-optimized Ce2PaGe structure (GGA-PBE, the Alexandria database).

```
4
Lattice="3.842 0.000 0.000 0.000 3.842 0.000 0.000 0.000 6.581" Properties=species:S:1:pos:R:3 pbc="T T T"
Ge 1.921 1.921 3.291
Pa 1.921 1.921 0.000
Ce 0.000 0.000 1.782
Ce 0.000 0.000 4.800
```

- density (g/cm³) = 9.983
- DOS at the Fermi energy (states/eV/atom) = 2.797
- size of the total moment (μB per formula unit) = 2.0
- space group = P4/mmm

---

Arrangement 2

# Ce2PaGe

A geometry-optimized Ce2PaGe structure (GGA-PBE, the Alexandria database).

```
4
Lattice="4.556 0.000 0.000 0.000 4.549 0.000 0.000 0.000 4.549" Properties=species:S:1:pos:R:3 pbc="T T T"
Ce 0.000 0.000 2.275
Ce 0.000 2.275 0.000
Ge 2.278 0.000 0.000
Pa 2.278 2.275 2.275
```

- density (g/cm³) = 10.283
- DOS at the Fermi energy (states/eV/atom) = 2.714
- size of the total moment (μB per formula unit) = 1.3
- space group = P4/mmm

---

Arrangement 3

# Ce2PaGe

A geometry-optimized Ce2PaGe structure (GGA-PBE, the Alexandria database).

```
4
Lattice="-3.465 3.054 2.312 -5.010 -0.423 -1.181 -3.305 -1.985 3.437" Properties=species:S:1:pos:R:3 pbc="T T T"
Ge 0.000 0.000 0.000
Ce -8.835 0.485 3.427
Ce -2.945 0.162 1.142
Pa -5.890 0.323 2.285
```

- density (g/cm³) = 9.953
- DOS at the Fermi energy (states/eV/atom) = 2.794
- size of the total moment (μB per formula unit) = 3.4
- space group = Fm-3m

---

Energies, relative to the best one, in meV/atom: arrangement 1 65; arrangement 2 0; arrangement 3 263.

---

Arrangement 1

# CePa2Ge

A geometry-optimized CePa2Ge structure (GGA-PBE, the Alexandria database).

```
4
Lattice="-1.644 -2.523 3.495 -1.648 -2.963 -2.914 3.838 -2.287 0.154" Properties=species:S:1:pos:R:3 pbc="T T T"
Pa -0.824 -1.481 -1.457
Pa 1.919 -1.144 0.077
Ge -0.822 -1.261 1.747
Ce 0.273 -3.886 0.368
```

- density (g/cm³) = 12.155
- DOS at the Fermi energy (states/eV/atom) = 2.555
- size of the total moment (μB per formula unit) = 0.0
- space group = P4/mmm

---

Arrangement 2

# CePa2Ge

A geometry-optimized CePa2Ge structure (GGA-PBE, the Alexandria database).

```
4
Lattice="-2.577 0.795 -1.542 -1.089 -1.837 -2.256 -7.335 -5.808 6.129" Properties=species:S:1:pos:R:3 pbc="T T T"
Ge -5.500 -3.425 1.165
Pa -5.684 -4.334 4.132
Pa -5.316 -2.516 -1.802
Ce 0.000 0.000 0.000
```

- density (g/cm³) = 12.143
- DOS at the Fermi energy (states/eV/atom) = 2.155
- size of the total moment (μB per formula unit) = 0.0
- space group = R-3m

---

Energies, relative to the best one, in meV/atom: arrangement 1 0; arrangement 2 303.

---

Arrangement 1

# CePa2Ge

A geometry-optimized CePa2Ge structure (GGA-PBE, the Alexandria database).

```
8
Lattice="4.298 0.000 -0.017 0.000 4.346 0.000 -2.105 0.000 10.695" Properties=species:S:1:pos:R:3 pbc="T T T"
Ce 2.166 3.260 4.097
Ce 0.027 1.087 6.581
Ge 2.178 3.260 7.150
Ge 0.014 1.087 3.528
Pa 2.186 1.087 9.352
Pa 2.154 1.087 1.239
Pa 0.038 3.260 9.439
Pa 0.006 3.260 1.326
```

- density (g/cm³) = 11.227
- DOS at the Fermi energy (states/eV/atom) = 2.359
- size of the total moment (μB per formula unit) = 0.5
- space group = Cmcm

---

Arrangement 2

# CePa2Ge

A geometry-optimized CePa2Ge structure (GGA-PBE, the Alexandria database).

```
4
Lattice="-0.498 0.289 3.825 -3.573 -1.439 -0.356 2.340 -5.998 0.758" Properties=species:S:1:pos:R:3 pbc="T T T"
Ce -2.036 -0.575 1.734
Ge -0.865 -3.574 2.113
Pa 0.662 -1.695 0.214
Pa 1.679 -4.302 0.544
```

- density (g/cm³) = 11.551
- DOS at the Fermi energy (states/eV/atom) = 2.910
- size of the total moment (μB per formula unit) = 1.8
- space group = P4/mmm

---

Energies, relative to the best one, in meV/atom: arrangement 1 0; arrangement 2 207.